The following is a DFT calculation (PBE) of a relaxed Y2ScOs crystal.

```
Y2ScOs
1.0
-1.779 2.508 5.368
1.779 -2.508 5.368
1.779 2.508 -5.368
Y Sc Os
2 1 1
Cartesian
0.000 0.000 2.147
0.000 0.000 8.590
0.000 2.508 0.000
1.779 0.000 0.000
```

Results
As for the total energy: -30.8 eV/cell. The calculation puts the size of the total moment at 0.000 μB/cell. The calculation puts the density of states at the Fermi level at 2.5 states/eV/cell. The energy of formation comes out at -79 meV/atom. As for the symmetry: Immm, No. 71. The volume comes out at 23.96 Å³/atom.